(1)
LaTePt2, optimized geometry, DFT GGA-PBE; calculated total energy = -5.732 eV per atom; SG = P4mm; mass density = 11.12 g cm⁻³; formation energy without anion corrections = -694 meV per atom; total magnetic moment = 0.0 μB per formula unit
1.0
3.986 0.000 0.000
0.000 3.986 0.000
0.000 0.000 6.173
La Te Pt
1 1 2
Cartesian
0.000 0.000 0.000 La
1.993 1.993 3.578 Te
0.000 0.000 3.342 Pt
1.993 1.993 0.893 Pt

(2)
LaTe2Pt, optimized geometry, DFT GGA-PBE; calculated total energy = -5.115 eV per atom; SG = P4mm; mass density = 8.86 g cm⁻³; formation energy without anion corrections = -802 meV per atom; total magnetic moment = 0.0 μB per formula unit
1.0
4.119 0.000 0.000
0.000 4.119 0.000
0.000 0.000 6.506
La Te Pt
1 2 1
Cartesian
0.000 0.000 0.000 La
0.000 0.000 2.971 Te
2.060 2.060 5.292 Te
2.060 2.060 2.471 Pt

- total magnetic moment of number 1 (LaTePt2)?
  0.0 μB per formula unit

- Among the records above, which one has the highest mass density?
  LaTePt2

- Which formula does entry 1 have?
  LaTePt2

What did the second record say?
LaTe2Pt, optimized geometry, DFT GGA-PBE; calculated total energy = -5.115 eV per atom; SG = P4mm; mass density = 8.86 g cm⁻³; formation energy without anion corrections = -802 meV per atom; total magnetic moment = 0.0 μB per formula unit
1.0
4.119 0.000 0.000
0.000 4.119 0.000
0.000 0.000 6.506
La Te Pt
1 2 1
Cartesian
0.000 0.000 0.000 La
0.000 0.000 2.971 Te
2.060 2.060 5.292 Te
2.060 2.060 2.471 Pt